[1]
## LiCaZn2Au5 (PBE)

Data for an optimized crystal structure of LiCaZn2Au5.

a = 4.7497 Å, b = 4.7497 Å, c = 8.1013 Å
α = 90.00°, β = 90.00°, γ = 90.00°
Fractional coordinates of all 9 atoms:
Li 0.0000 0.0000 0.0000
Ca 0.0000 0.0000 0.5000
Zn 0.5000 0.5000 0.1490
Zn 0.5000 0.5000 0.8510
Au 0.0000 0.5000 0.2645
Au 0.0000 0.5000 0.7355
Au 0.5000 0.0000 0.2645
Au 0.5000 0.0000 0.7355
Au 0.5000 0.5000 0.5000

calculated formation energy: -0.33 eV per atom
density of states at the Fermi level: 0.285 states/eV/atom

---

[2]
## Li2CaZn2Au2 (PBE)

Data for an optimized crystal structure of Li2CaZn2Au2.

a = 7.8324 Å, b = 4.5005 Å, c = 7.9392 Å
α = 90.00°, β = 108.39°, γ = 90.00°
Fractional coordinates of all 14 atoms:
Li 0.1361 0.0000 0.4131
Li 0.3639 0.5000 0.5869
Li 0.6361 0.5000 0.4131
Li 0.8639 0.0000 0.5869
Ca 0.0000 0.0000 0.0000
Ca 0.5000 0.5000 0.0000
Zn 0.0708 0.5000 0.7079
Zn 0.4292 0.0000 0.2921
Zn 0.5708 0.0000 0.7079
Zn 0.9292 0.5000 0.2921
Au 0.2464 0.5000 0.2453
Au 0.2536 0.0000 0.7547
Au 0.7464 0.0000 0.2453
Au 0.7536 0.5000 0.7547

calculated formation energy: -0.49 eV per atom
density of states at the Fermi level: 0.299 states/eV/atom

---

[3]
## LiCa2Zn4Au3 (PBE)

Data for an optimized crystal structure of LiCa2Zn4Au3.

a = 4.0617 Å, b = 4.0617 Å, c = 12.2032 Å
α = 90.00°, β = 90.00°, γ = 90.00°
Fractional coordinates of all 10 atoms:
Li 0.0000 0.0000 0.0000
Ca 0.0000 0.5000 0.7430
Ca 0.5000 0.0000 0.2570
Zn 0.0000 0.0000 0.5000
Zn 0.0000 0.5000 0.1398
Zn 0.5000 0.0000 0.8602
Zn 0.5000 0.5000 0.5000
Au 0.0000 0.5000 0.3532
Au 0.5000 0.0000 0.6468
Au 0.5000 0.5000 0.0000

calculated formation energy: -0.47 eV per atom
density of states at the Fermi level: 0.442 states/eV/atom

---

[4]
## LiCa2Zn3Au4 (PBE)

Data for an optimized crystal structure of LiCa2Zn3Au4.

a = 4.2630 Å, b = 4.2630 Å, c = 11.3597 Å
α = 90.00°, β = 90.00°, γ = 90.00°
Fractional coordinates of all 10 atoms:
Li 0.0000 0.0000 0.0000
Ca 0.0000 0.5000 0.7410
Ca 0.5000 0.0000 0.2590
Zn 0.0000 0.5000 0.3653
Zn 0.5000 0.0000 0.6347
Zn 0.5000 0.5000 0.0000
Au 0.0000 0.0000 0.5000
Au 0.0000 0.5000 0.1414
Au 0.5000 0.0000 0.8586
Au 0.5000 0.5000 0.5000

calculated formation energy: -0.50 eV per atom
density of states at the Fermi level: 0.434 states/eV/atom

---

[5]
## CaLuNiAu (PBE)

Data for an optimized crystal structure of CaLuNiAu.

a = 6.9390 Å, b = 6.9390 Å, c = 6.9390 Å
α = 90.00°, β = 90.00°, γ = 90.00°
Fractional coordinates of all 16 atoms:
Ca 0.0000 0.0000 0.0000
Ca 0.0000 0.5000 0.5000
Ca 0.5000 0.0000 0.5000
Ca 0.5000 0.5000 0.0000
Lu 0.0000 0.0000 0.5000
Lu 0.0000 0.5000 0.0000
Lu 0.5000 0.0000 0.0000
Lu 0.5000 0.5000 0.5000
Ni 0.2500 0.2500 0.7500
Ni 0.2500 0.7500 0.2500
Ni 0.7500 0.2500 0.2500
Ni 0.7500 0.7500 0.7500
Au 0.2500 0.2500 0.2500
Au 0.2500 0.7500 0.7500
Au 0.7500 0.2500 0.7500
Au 0.7500 0.7500 0.2500

calculated formation energy: -0.49 eV per atom
density of states at the Fermi level: 0.437 states/eV/atom

---

[6]
## CaLuPtAu (PBE)

Data for an optimized crystal structure of CaLuPtAu.

a = 7.0025 Å, b = 7.0025 Å, c = 7.0025 Å
α = 90.00°, β = 90.00°, γ = 90.00°
Fractional coordinates of all 16 atoms:
Ca 0.0000 0.0000 0.0000
Ca 0.0000 0.5000 0.5000
Ca 0.5000 0.0000 0.5000
Ca 0.5000 0.5000 0.0000
Lu 0.0000 0.0000 0.5000
Lu 0.0000 0.5000 0.0000
Lu 0.5000 0.0000 0.0000
Lu 0.5000 0.5000 0.5000
Pt 0.2500 0.2500 0.7500
Pt 0.2500 0.7500 0.2500
Pt 0.7500 0.2500 0.2500
Pt 0.7500 0.7500 0.7500
Au 0.2500 0.2500 0.2500
Au 0.2500 0.7500 0.7500
Au 0.7500 0.2500 0.7500
Au 0.7500 0.7500 0.2500

calculated formation energy: -0.95 eV per atom
density of states at the Fermi level: 0.394 states/eV/atom

---

[7]
## CaLuSbAu (PBE)

Data for an optimized crystal structure of CaLuSbAu.

a = 7.3571 Å, b = 7.3571 Å, c = 7.3571 Å
α = 90.00°, β = 90.00°, γ = 90.00°
Fractional coordinates of all 16 atoms:
Ca 0.0000 0.0000 0.0000
Ca 0.0000 0.5000 0.5000
Ca 0.5000 0.0000 0.5000
Ca 0.5000 0.5000 0.0000
Lu 0.0000 0.0000 0.5000
Lu 0.0000 0.5000 0.0000
Lu 0.5000 0.0000 0.0000
Lu 0.5000 0.5000 0.5000
Sb 0.2500 0.2500 0.7500
Sb 0.2500 0.7500 0.2500
Sb 0.7500 0.2500 0.2500
Sb 0.7500 0.7500 0.7500
Au 0.2500 0.2500 0.2500
Au 0.2500 0.7500 0.7500
Au 0.7500 0.2500 0.7500
Au 0.7500 0.7500 0.2500

formation energy without anion corrections: -749 meV/atom
density of states at the Fermi level: 0.750 states/eV/atom

---

[8]
## CaLuSnAu (PBE)

Data for an optimized crystal structure of CaLuSnAu.

a = 7.3482 Å, b = 7.3482 Å, c = 7.3482 Å
α = 90.00°, β = 90.00°, γ = 90.00°
Fractional coordinates of all 16 atoms:
Ca 0.0000 0.0000 0.0000
Ca 0.0000 0.5000 0.5000
Ca 0.5000 0.0000 0.5000
Ca 0.5000 0.5000 0.0000
Lu 0.0000 0.0000 0.5000
Lu 0.0000 0.5000 0.0000
Lu 0.5000 0.0000 0.0000
Lu 0.5000 0.5000 0.5000
Sn 0.2500 0.2500 0.7500
Sn 0.2500 0.7500 0.2500
Sn 0.7500 0.2500 0.2500
Sn 0.7500 0.7500 0.7500
Au 0.2500 0.2500 0.2500
Au 0.2500 0.7500 0.7500
Au 0.7500 0.2500 0.7500
Au 0.7500 0.7500 0.2500

calculated formation energy: -0.72 eV per atom
density of states at the Fermi level: 0.390 states/eV/atom

---

[9]
## CaLuTlAu (PBE)

Data for an optimized crystal structure of CaLuTlAu.

a = 7.3610 Å, b = 7.3610 Å, c = 7.3610 Å
α = 90.00°, β = 90.00°, γ = 90.00°
Fractional coordinates of all 16 atoms:
Ca 0.0000 0.0000 0.0000
Ca 0.0000 0.5000 0.5000
Ca 0.5000 0.0000 0.5000
Ca 0.5000 0.5000 0.0000
Lu 0.0000 0.0000 0.5000
Lu 0.0000 0.5000 0.0000
Lu 0.5000 0.0000 0.0000
Lu 0.5000 0.5000 0.5000
Tl 0.2500 0.2500 0.7500
Tl 0.2500 0.7500 0.2500
Tl 0.7500 0.2500 0.2500
Tl 0.7500 0.7500 0.7500
Au 0.2500 0.2500 0.2500
Au 0.2500 0.7500 0.7500
Au 0.7500 0.2500 0.7500
Au 0.7500 0.7500 0.2500

calculated formation energy: -0.56 eV per atom
density of states at the Fermi level: 0.710 states/eV/atom

---

[10]
## Ca2Mg3Au4 (PBE)

Data for an optimized crystal structure of Ca2Mg3Au4.

a = 7.5038 Å, b = 7.4736 Å, c = 7.5683 Å
α = 90.00°, β = 110.86°, γ = 90.00°
Fractional coordinates of all 18 atoms:
Ca 0.1889 0.1721 0.0555
Ca 0.1889 0.3279 0.5555
Ca 0.8111 0.6721 0.4445
Ca 0.8111 0.8279 0.9445
Mg 0.2512 0.6619 0.2472
Mg 0.2512 0.8381 0.7472
Mg 0.5000 0.0000 0.5000
Mg 0.5000 0.5000 0.0000
Mg 0.7488 0.1619 0.2528
Mg 0.7488 0.3381 0.7528
Au 0.0856 0.5462 0.8559
Au 0.0856 0.9538 0.3559
Au 0.4982 0.6359 0.6352
Au 0.4982 0.8641 0.1352
Au 0.5018 0.1359 0.8648
Au 0.5018 0.3641 0.3648
Au 0.9144 0.0461 0.6441
Au 0.9144 0.4538 0.1441

ΔE to the lowest computed polymorph: 0.00 eV/f.u.
calculated formation energy: -0.68 eV per atom
density of states at the Fermi level: 0.409 states/eV/atom

---

[11]
## Ca2Mg3Au2 (PBE)

Data for an optimized crystal structure of Ca2Mg3Au2.

a = 10.7132 Å, b = 4.4553 Å, c = 7.7057 Å
α = 90.00°, β = 113.23°, γ = 90.00°
Fractional coordinates of all 14 atoms:
Ca 0.1423 0.0000 0.2885
Ca 0.3577 0.5000 0.7115
Ca 0.6423 0.5000 0.2885
Ca 0.8577 0.0000 0.7115
Mg 0.0000 0.5000 0.5000
Mg 0.1344 0.5000 0.9378
Mg 0.3656 0.0000 0.0622
Mg 0.5000 0.0000 0.5000
Mg 0.6344 0.0000 0.9378
Mg 0.8656 0.5000 0.0622
Au 0.1485 0.0000 0.7105
Au 0.3515 0.5000 0.2895
Au 0.6485 0.5000 0.7105
Au 0.8515 0.0000 0.2895

calculated formation energy: -0.56 eV per atom
density of states at the Fermi level: 0.446 states/eV/atom

---

[12]
## Ca6MgAu2 (PBE)

Data for an optimized crystal structure of Ca6MgAu2.

a = 9.1125 Å, b = 9.1125 Å, c = 9.1125 Å
α = 114.44°, β = 112.92°, γ = 101.34°
Fractional coordinates of all 18 atoms:
Ca 0.0490 0.2460 0.8030
Ca 0.1812 0.2960 0.4771
Ca 0.1812 0.7040 0.8852
Ca 0.3422 0.0268 0.6846
Ca 0.3422 0.6576 0.3154
Ca 0.4431 0.2460 0.1970
Ca 0.5569 0.7540 0.8030
Ca 0.6578 0.3424 0.6846
Ca 0.6578 0.9732 0.3154
Ca 0.8188 0.2960 0.1148
Ca 0.8188 0.7040 0.5229
Ca 0.9510 0.7540 0.1970
Mg 0.0000 0.0000 0.0000
Mg 0.5000 0.5000 0.0000
Au 0.1355 0.6355 0.5000
Au 0.2982 0.0000 0.2982
Au 0.7018 0.0000 0.7018
Au 0.8645 0.3645 0.5000

calculated formation energy: -0.43 eV per atom
density of states at the Fermi level: 0.772 states/eV/atom

---

Among the records above, which one has the highest density of states at the Fermi level? Ca6MgAu2

---

What is the density of states at the Fermi level in the sixth record? 0.394 states/eV/atom

---

density of states at the Fermi level of number 8 (CaLuSnAu)? 0.390 states/eV/atom